A plane-wave DFT calculation with PBE-GGA was carried out for an optimized crystal structure of MgNiOs.

a = 2.609 Å, b = 4.068 Å, c = 8.554 Å
α = 90.00°, β = 90.00°, γ = 90.00°
Positions (direct):
Mg 0.500 0.000 0.486
Mg 0.500 0.500 0.986
Os 0.000 0.500 0.693
Os 0.000 0.000 0.193
Ni 0.500 0.500 0.279
Ni 0.500 0.000 0.779

Values from the calculation:
ΔH_f (0 K) = 283 meV per atom
Calculated volume = 15.13 Å³/atom
Mass density = 9.993 g cm⁻³
Polymorph energy (0 for the lowest one) = 0.1791 eV per atom